Entry 1:
Tb2Y3Tl4: optimized geometry, GGA-PBE.

Results
SG: Cmce
Energy above the lowest structure with this stoichiometry: 87.3 meV/atom
Spin magnetization: 0.000 μB per atom

Cell lengths 8.739, 8.739, 9.394 Å; angles 90.00, 90.00, 131.19 degrees
Positions (direct):
Tb 0.110 0.890 0.933
Tb 0.390 0.610 0.433
Tb 0.610 0.390 0.567
Tb 0.890 0.110 0.067
Y 0.000 0.000 0.500
Y 0.040 0.460 0.750
Y 0.460 0.040 0.250
Y 0.500 0.500 0.000
Y 0.540 0.960 0.750
Y 0.960 0.540 0.250
Tl 0.193 0.807 0.537
Tl 0.234 0.266 0.750
Tl 0.266 0.234 0.250
Tl 0.307 0.693 0.037
Tl 0.693 0.307 0.963
Tl 0.734 0.766 0.750
Tl 0.766 0.734 0.250
Tl 0.807 0.193 0.463

Entry 2:
Tb6YTl: optimized geometry, GGA-PBE.

Results
SG: R-3
Energy above the lowest structure with this stoichiometry: 93.3 meV/atom
Spin magnetization: 0.000 μB per atom

Cell lengths 6.338, 6.338, 6.338 Å; angles 93.89, 93.89, 93.89 degrees
Positions (direct):
Tb 0.036 0.758 0.544
Tb 0.242 0.456 0.964
Tb 0.456 0.964 0.242
Tb 0.544 0.036 0.758
Tb 0.758 0.544 0.036
Tb 0.964 0.242 0.456
Y 0.500 0.500 0.500
Tl 0.000 0.000 0.000

Entry 3:
Tb9Y4Tl11: optimized geometry, GGA-PBE.

Results
SG: Cmmm
Spin magnetization: 0.000 μB per atom
Total energy: -0.3074 Ry/atom

Cell lengths 14.092, 14.092, 3.588 Å; angles 90.00, 90.00, 109.58 degrees
Positions (direct):
Tb 0.000 0.000 0.000
Tb 0.115 0.658 0.000
Tb 0.297 0.483 0.000
Tb 0.342 0.885 0.000
Tb 0.483 0.297 0.000
Tb 0.517 0.703 0.000
Tb 0.658 0.115 0.000
Tb 0.703 0.517 0.000
Tb 0.885 0.342 0.000
Y 0.085 0.248 0.000
Y 0.248 0.085 0.000
Y 0.752 0.915 0.000
Y 0.915 0.752 0.000
Tl 0.090 0.449 0.500
Tl 0.123 0.877 0.500
Tl 0.286 0.286 0.500
Tl 0.314 0.686 0.500
Tl 0.449 0.090 0.500
Tl 0.500 0.500 0.500
Tl 0.551 0.910 0.500
Tl 0.686 0.314 0.500
Tl 0.714 0.714 0.500
Tl 0.877 0.123 0.500
Tl 0.910 0.551 0.500

Entry 4:
Tb2Y8Tl: optimized geometry, GGA-PBE.

Results
SG: C2/m
Energy above the lowest structure with this stoichiometry: 0.0 meV/atom
Spin magnetization: 0.000 μB per atom

Cell lengths 10.132, 10.132, 6.464 Å; angles 94.91, 94.91, 31.95 degrees
Positions (direct):
Tb 0.243 0.243 0.336
Tb 0.757 0.757 0.664
Y 0.045 0.045 0.267
Y 0.155 0.155 0.803
Y 0.338 0.338 0.876
Y 0.422 0.422 0.400
Y 0.578 0.578 0.600
Y 0.662 0.662 0.124
Y 0.845 0.845 0.197
Y 0.955 0.955 0.733
Tl 0.500 0.500 0.000

Entry 5:
TbY2Tl: optimized geometry, GGA-PBE.

Results
SG: P2_1/m
Energy above the lowest structure with this stoichiometry: 0.0 meV/atom
Spin magnetization: 0.000 μB per atom

Cell lengths 6.722, 5.369, 6.750 Å; angles 90.00, 100.82, 90.00 degrees
Positions (direct):
Tb 0.162 0.250 0.426
Tb 0.838 0.750 0.574
Y 0.085 0.250 0.906
Y 0.369 0.750 0.772
Y 0.631 0.250 0.228
Y 0.915 0.750 0.094
Tl 0.385 0.750 0.257
Tl 0.615 0.250 0.743

Entry 6:
Tb2Y2Tl: optimized geometry, GGA-PBE.

Results
SG: Amm2
Energy above the lowest structure with this stoichiometry: 0.0 meV/atom
Spin magnetization: 0.000 μB per atom

Cell lengths 3.560, 8.718, 8.718 Å; angles 34.80, 90.00, 90.00 degrees
Positions (direct):
Tb 0.000 0.000 0.000
Tb 0.000 0.201 0.201
Y 0.500 0.386 0.386
Y 0.500 0.606 0.606
Tl 0.000 0.804 0.804

Entry 7:
Tb15Y4Tl: optimized geometry, GGA-PBE.

Results
SG: P4/mmm
Spin magnetization: 0.000 μB per atom
Total energy: -0.3603 Ry/atom

Cell lengths 4.985, 4.985, 25.301 Å; angles 90.00, 90.00, 90.00 degrees
Positions (direct):
Tb 0.000 0.000 0.000
Tb 0.000 0.000 0.196
Tb 0.000 0.000 0.399
Tb 0.000 0.000 0.601
Tb 0.000 0.000 0.804
Tb 0.000 0.500 0.097
Tb 0.000 0.500 0.299
Tb 0.000 0.500 0.500
Tb 0.000 0.500 0.701
Tb 0.000 0.500 0.903
Tb 0.500 0.000 0.097
Tb 0.500 0.000 0.299
Tb 0.500 0.000 0.500
Tb 0.500 0.000 0.701
Tb 0.500 0.000 0.903
Y 0.500 0.500 0.198
Y 0.500 0.500 0.399
Y 0.500 0.500 0.601
Y 0.500 0.500 0.802
Tl 0.500 0.500 0.000

Entry 8:
TbY2Tl2: optimized geometry, GGA-PBE.

Results
SG: P2_1/m
Energy above the lowest structure with this stoichiometry: 0.0 meV/atom
Spin magnetization: 0.000 μB per atom

Cell lengths 3.792, 5.391, 14.129 Å; angles 90.00, 97.73, 90.00 degrees
Positions (direct):
Tb 0.148 0.250 0.298
Tb 0.852 0.750 0.702
Y 0.050 0.750 0.099
Y 0.238 0.750 0.475
Y 0.762 0.250 0.525
Y 0.950 0.250 0.901
Tl 0.355 0.250 0.709
Tl 0.451 0.750 0.903
Tl 0.549 0.250 0.097
Tl 0.645 0.750 0.291

Entry 9:
TbYTl: optimized geometry, GGA-PBE.

Results
SG: I4mm
Energy above the lowest structure with this stoichiometry: 610.7 meV/atom
Spin magnetization: 0.208 μB per atom

Cell lengths 9.028, 9.028, 9.028 Å; angles 158.34, 158.34, 30.82 degrees
Positions (direct):
Tb 0.000 0.000 0.000
Y 0.802 0.802 0.000
Tl 0.627 0.627 0.000

Entry 10:
Tb2Y3Tl4: optimized geometry, GGA-PBE.

Results
SG: C2/m
Energy above the lowest structure with this stoichiometry: 0.0 meV/atom
Spin magnetization: 0.000 μB per atom

Cell lengths 8.774, 8.774, 6.676 Å; angles 104.70, 104.70, 32.07 degrees
Positions (direct):
Tb 0.172 0.172 0.070
Tb 0.828 0.828 0.930
Y 0.391 0.391 0.420
Y 0.500 0.500 0.000
Y 0.609 0.609 0.580
Tl 0.010 0.010 0.283
Tl 0.246 0.246 0.661
Tl 0.754 0.754 0.339
Tl 0.990 0.990 0.717

Entry 11:
Tb7Y12Tl: optimized geometry, GGA-PBE.

Results
SG: R-3
Spin magnetization: 0.000 μB per atom
Total energy: -0.3999 Ry/atom

Cell lengths 8.694, 8.694, 8.694 Å; angles 87.01, 87.01, 87.01 degrees
Positions (direct):
Tb 0.000 0.000 0.000
Tb 0.107 0.354 0.423
Tb 0.354 0.423 0.107
Tb 0.423 0.107 0.354
Tb 0.577 0.893 0.646
Tb 0.646 0.577 0.893
Tb 0.893 0.646 0.577
Y 0.002 0.641 0.111
Y 0.111 0.002 0.641
Y 0.243 0.747 0.363
Y 0.253 0.637 0.757
Y 0.359 0.889 0.998
Y 0.363 0.243 0.747
Y 0.637 0.757 0.253
Y 0.641 0.111 0.002
Y 0.747 0.363 0.243
Y 0.757 0.253 0.637
Y 0.889 0.998 0.359
Y 0.998 0.359 0.889
Tl 0.500 0.500 0.500

Entry 12:
TbYTlZn: optimized geometry, GGA-PBE.

Results
SG: P4mm
Energy above the lowest structure with this stoichiometry: 0.0 meV/atom
Spin magnetization: 0.000 μB per atom

Cell lengths 3.679, 3.679, 7.442 Å; angles 90.00, 90.00, 90.00 degrees
Positions (direct):
Tb 0.000 0.000 0.000
Y 0.000 0.000 0.542
Tl 0.500 0.500 0.272
Zn 0.500 0.500 0.770

In the order shown, the computed V values come out to 539.91; 252.72; 671.22; 349.76; 239.30; 154.47; 628.69; 286.16; 100.21; 263.21; 654.54; 100.72 Å³ per cell.